! NpNi2BO6, optimized geometry, DFT PBE+U; values from VASP
&SYSTEM
  ibrav = 0, nat = 10, ntyp = 4
/
ATOMIC_SPECIES
Np 237.00 Np.upf
Ni 58.69 Ni.upf
B 10.81 B.upf
O 16.00 O.upf
CELL_PARAMETERS angstrom
4.3254 0.0000 0.0000
0.0000 5.3197 0.0000
0.0000 0.0000 5.3197
ATOMIC_POSITIONS crystal
Np 0.6412 0.5000 0.5000
Ni 0.9237 0.5000 0.0000
Ni 0.9237 0.0000 0.5000
B 0.5847 0.0000 0.0000
O 0.7325 0.2226 0.2226
O 0.7325 0.2226 0.7774
O 0.1632 0.5000 0.5000
O 0.2803 0.0000 0.0000
O 0.7325 0.7774 0.7774
O 0.7325 0.7774 0.2226
! Theoretical density, g/cm3: 6.26
! Magnetic moment, μB/f.u.: 2.00
! Total energy, eV per atom: -6.8256